(1)
Here is crystalline GaTeW2Br at its relaxed geometry from Alexandria via LeMat-Bulk. Energies are from GGA-PBE.

Lattice parameters (Å, degrees): 5.0952 6.4355 5.0952 90.00 90.00 90.00
With the nearest neighbours (Å) after each atom.
Positions (direct):
Ga  0.5000  0.5000  0.5000  4 Br 3.60
Te  0.0000  0.0000  0.0000  4 W 2.55
Br  0.0000  0.5000  0.0000  2 Te 3.22, 4 Ga 3.60
W  0.0000  0.0000  0.5000  2 Te 2.55
W  0.5000  0.0000  0.0000  2 Te 2.55

Values from the calculation:
As for the uncorrected formation energy: 2.0127 eV/atom. The calculated total energy is -23.68 eV per formula unit.

***

(2)
Here is crystalline YGaTe2Br at its relaxed geometry from Alexandria via LeMat-Bulk. Energies are from GGA-PBE.

Lattice parameters (Å, degrees): 5.7314 5.7314 6.1746 90.00 90.00 90.00
With the nearest neighbours (Å) after each atom.
Positions (direct):
Y  0.0000  0.0000  0.0000  4 Te 2.87, 2 Ga 3.09
Te  0.0000  0.5000  0.0000  2 Y 2.87
Te  0.5000  0.0000  0.0000  2 Y 2.87
Ga  0.0000  0.0000  0.5000  2 Y 3.09
Br  0.5000  0.5000  0.5000  4 Ga 4.05, 8 Te 4.21

Values from the calculation:
As for the uncorrected formation energy: -0.1148 eV/atom. The calculated total energy is -18.02 eV per formula unit.